Record 1
VASP calculation (GGA-PBEsol) on NaTl2Hg after structural relaxation.

Summary:
Fermi-level density of states: 1.5 states/eV/f.u.
VASP energy: -1.838 eV/atom

```
NaTl2Hg
1.0
-5.8926 1.0453 -1.8176
-3.8591 -5.4015 -1.3565
-4.7427 0.3661 4.8251
Hg Tl Na
2 4 2
direct
0.0000 0.0000 0.0000 Hg
0.7500 0.5000 0.5000 Hg
0.8750 0.4757 0.0243 Tl
0.6493 0.9757 0.4757 Tl
0.3750 0.5243 0.9757 Tl
0.1007 0.0243 0.5243 Tl
0.5000 0.0000 0.0000 Na
0.2500 0.5000 0.5000 Na
```


Record 2
VASP calculation (GGA-PBEsol) on NaTlHg2 after structural relaxation.

Summary:
Fermi-level density of states: 1.3 states/eV/f.u.
VASP energy: -1.473 eV/atom

```
NaTlHg2
1.0
-2.6809 -0.7934 -4.3404
2.4807 -0.8424 -4.4489
-0.0898 -4.6895 -2.1579
Tl Na Hg
1 1 2
direct
0.5000 0.5000 0.5000 Tl
0.0000 0.0000 0.0000 Na
0.7500 0.7500 0.7500 Hg
0.2500 0.2500 0.2500 Hg
```


Record 3
VASP calculation (GGA-PBEsol) on Na2TlHg after structural relaxation.

Summary:
Fermi-level density of states: 1.1 states/eV/f.u.
VASP energy: -1.700 eV/atom

```
Na2TlHg
1.0
5.1503 0.0000 0.0000
2.5751 4.4603 0.0000
2.5751 1.4868 4.2052
Na Tl Hg
2 1 1
direct
0.2500 0.2500 0.2500 Na
0.5000 0.5000 0.5000 Na
0.0000 0.0000 0.0000 Tl
0.7500 0.7500 0.7500 Hg
```


Record 4
VASP calculation (GGA-PBEsol) on Na2TlHg2 after structural relaxation.

Summary:
Fermi-level density of states: 1.7 states/eV/f.u.
VASP energy: -1.442 eV/atom

```
Na2TlHg2
1.0
-1.1983 1.2814 2.8075
4.8847 -5.5645 4.6247
6.5089 5.8164 0.1234
Na Hg Tl
4 4 2
direct
0.0000 0.8587 0.6413 Na
0.0000 0.1413 0.3587 Na
0.0000 0.6413 0.1413 Na
0.0000 0.3587 0.8587 Na
0.5000 0.1552 0.6552 Hg
0.5000 0.8448 0.3448 Hg
0.5000 0.3448 0.1552 Hg
0.5000 0.6552 0.8448 Hg
0.0000 0.0000 0.0000 Tl
0.0000 0.5000 0.5000 Tl
```


Record 5
VASP calculation (GGA-PBEsol) on Na2ZnHg2 after structural relaxation.

Summary:
Fermi-level density of states: 1.8 states/eV/f.u.
VASP energy: -1.225 eV/atom

```
Na2ZnHg2
1.0
4.7019 0.0000 0.0000
0.0000 7.1405 0.0000
0.0000 0.0000 7.1405
Zn Hg Na
2 4 4
direct
0.0000 0.0000 0.0000 Zn
0.0000 0.5000 0.5000 Zn
0.0000 0.3553 0.8553 Hg
0.0000 0.1447 0.3553 Hg
0.0000 0.6447 0.1447 Hg
0.0000 0.8553 0.6447 Hg
0.5000 0.8327 0.3327 Na
0.5000 0.3327 0.1673 Na
0.5000 0.6673 0.8327 Na
0.5000 0.1673 0.6673 Na
```


Record 6
VASP calculation (GGA-PBEsol) on NaZr3Hg after structural relaxation.

Summary:
Fermi-level density of states: 9.0 states/eV/f.u.
VASP energy: -4.798 eV/atom

```
NaZr3Hg
1.0
5.2946 0.0000 0.0000
0.0000 5.2946 0.0000
0.0000 0.0000 5.2946
Zr Hg Na
3 1 1
direct
0.5000 0.0000 0.0000 Zr
0.0000 0.0000 0.5000 Zr
0.0000 0.5000 0.0000 Zr
0.0000 0.0000 0.0000 Hg
0.5000 0.5000 0.5000 Na
```


Record 7
VASP calculation (GGA-PBEsol) on Nb3HgO after structural relaxation.

Summary:
formation energy from raw total energies: -313.1 kJ/mol of formula units
Fermi-level density of states: 4.4 states/eV/f.u.

```
Nb3HgO
1.0
-0.2018 -1.5547 3.9643
-2.3477 -3.2705 -1.4021
3.5526 -2.2495 -0.7014
Hg Nb O
1 3 1
direct
0.5000 0.5000 0.5000 Hg
0.5000 0.0000 0.0000 Nb
0.0000 0.0000 0.5000 Nb
0.0000 0.5000 0.0000 Nb
0.0000 0.0000 0.0000 O
```


Record 8
VASP calculation (GGA-PBEsol) on Nb2Hg2O7 after structural relaxation.

Summary:
formation energy from raw total energies: -1819.7 kJ/mol of formula units

```
Nb2Hg2O7
1.0
7.4420 0.0000 0.0000
3.7210 6.4449 0.0000
3.7210 2.1483 6.0764
Nb O Hg
4 14 4
direct
0.1250 0.1250 0.6250 Nb
0.1250 0.1250 0.1250 Nb
0.6250 0.1250 0.1250 Nb
0.1250 0.6250 0.1250 Nb
0.1911 0.1911 0.8089 O
0.4411 0.0589 0.0589 O
0.0589 0.0589 0.4411 O
0.0589 0.4411 0.0589 O
0.4411 0.4411 0.0589 O
0.8089 0.8089 0.1911 O
0.1911 0.8089 0.1911 O
0.4411 0.0589 0.4411 O
0.5000 0.5000 0.5000 O
0.8089 0.1911 0.1911 O
0.7500 0.7500 0.7500 O
0.8089 0.1911 0.8089 O
0.1911 0.8089 0.8089 O
0.0589 0.4411 0.4411 O
0.6250 0.6250 0.6250 Hg
0.6250 0.1250 0.6250 Hg
0.6250 0.6250 0.1250 Hg
0.1250 0.6250 0.6250 Hg
```


Record 9
VASP calculation (GGA-PBEsol) on NbHgOs3 after structural relaxation.

Summary:
Fermi-level density of states: 7.9 states/eV/f.u.
VASP energy: -7.204 eV/atom

```
NbHgOs3
1.0
-1.4119 1.1906 -4.3385
0.2710 -4.5164 -1.3277
-4.4908 -0.6469 1.2839
Nb Os Hg
1 3 1
direct
0.0000 0.0000 0.0000 Nb
0.5000 0.0000 0.0000 Os
0.0000 0.5000 0.0000 Os
0.0000 0.0000 0.5000 Os
0.5000 0.5000 0.5000 Hg
```


Record 10
VASP calculation (GGA-PBEsol) on YNbHgP2 after structural relaxation.

Summary:
Fermi-level density of states: 3.0 states/eV/f.u.
VASP energy: -5.787 eV/atom

```
YNbHgP2
1.0
-1.4299 -3.7155 -2.5884
4.0783 -2.2363 0.9570
-2.2509 -2.2132 4.4205
Y Hg Nb P
1 1 1 2
direct
0.0000 0.0000 0.5000 Y
0.5000 0.5000 0.5000 Hg
0.0000 0.0000 0.0000 Nb
0.5000 0.0000 0.0000 P
0.0000 0.5000 0.0000 P
```


Record 11
VASP calculation (GGA-PBEsol) on NbHg2Pd after structural relaxation.

Summary:
Fermi-level density of states: 2.8 states/eV/f.u.
VASP energy: -4.388 eV/atom

```
NbHg2Pd
1.0
-0.9308 3.3179 3.1184
1.8287 -0.2413 4.2658
3.3231 2.9879 1.2761
Nb Hg Pd
1 2 1
direct
0.0000 0.0000 0.0000 Nb
0.7500 0.7500 0.7500 Hg
0.2500 0.2500 0.2500 Hg
0.5000 0.5000 0.5000 Pd
```


Record 12
VASP calculation (GGA-PBEsol) on Nb3HgPd after structural relaxation.

Summary:
Fermi-level density of states: 8.3 states/eV/f.u.
VASP energy: -6.575 eV/atom

```
Nb3HgPd
1.0
4.7970 0.0000 0.0000
0.0000 4.7970 0.0000
0.0000 0.0000 4.7970
Nb Pd Hg
3 1 1
direct
0.5000 0.0000 0.0000 Nb
0.0000 0.0000 0.5000 Nb
0.0000 0.5000 0.0000 Nb
0.0000 0.0000 0.0000 Pd
0.5000 0.5000 0.5000 Hg
```


Record 13
VASP calculation (GGA-PBEsol) on RbNbHg2Ru after structural relaxation.

Summary:
Fermi-level density of states: 6.0 states/eV/f.u.
VASP energy: -2.270 eV/atom

```
RbNbHg2Ru
1.0
-2.3061 -3.9404 -1.0327
1.5987 0.4334 -5.2234
4.4927 -2.9260 1.1323
Ru Nb Hg Rb
1 1 2 1
direct
0.5000 0.0000 0.0000 Ru
0.5000 0.5000 0.5000 Nb
0.0000 0.5000 0.0000 Hg
0.0000 0.0000 0.5000 Hg
0.0000 0.0000 0.0000 Rb
```